[1]
The following is a PBE calculation of an optimized crystal structure of PPt2Pb, from Alexandria via LeMat-Bulk. Values from VASP.

Structure (Quantum ESPRESSO input):
```
&SYSTEM
  ibrav = 0, nat = 4, ntyp = 3
/
ATOMIC_SPECIES
P 30.97 P.upf
Pt 195.08 Pt.upf
Pb 207.20 Pb.upf
ATOMIC_POSITIONS angstrom
P 1.5828 1.5828 0.0000
Pt 0.0000 0.0000 5.8727
Pt 0.0000 0.0000 1.3951
Pb 1.5828 1.5828 3.6339
CELL_PARAMETERS angstrom
3.1657 0.0000 0.0000
0.0000 3.1657 0.0000
0.0000 0.0000 7.2679
```

## Properties
- Symmetry: P4/mmm (123)
- Theoretical density: 14.325 g/cm3
- Polymorph energy (0 for the lowest one): 275.2 meV/atom
- E: -5.30 eV/atom
- Spin magnetization: 0.00 μB per formula unit

=====

[2]
The following is a PBE calculation of an optimized crystal structure of AcSm2Ru, from Alexandria via LeMat-Bulk. Values from VASP.

Structure (Quantum ESPRESSO input):
```
&SYSTEM
  ibrav = 0, nat = 16, ntyp = 3
/
ATOMIC_SPECIES
Ac 227.00 Ac.upf
Sm 150.36 Sm.upf
Ru 101.07 Ru.upf
ATOMIC_POSITIONS angstrom
Ac -1.0669 -4.3197 -4.5833
Ac -4.1267 -4.0744 -2.0229
Ac 1.0826 -8.2633 -1.6783
Ac 4.1424 -8.5086 -4.2387
Sm 1.7427 -1.8805 -4.5500
Sm -0.4180 -4.8686 -0.7764
Sm -2.3569 -7.3726 -2.7834
Sm 1.0636 -11.0443 -4.4134
Sm -1.7270 -10.7025 -1.7115
Sm 0.4337 -7.7144 -5.4852
Sm 2.3726 -5.2104 -3.4782
Sm -1.0479 -1.5387 -1.8482
Ru 1.5159 -2.9614 -1.8811
Ru 1.4051 -4.3424 -6.1065
Ru -1.5001 -9.6217 -4.3804
Ru -1.3894 -8.2406 -0.1550
CELL_PARAMETERS angstrom
-5.5408 -1.9847 -2.9096
3.8015 -1.3210 -6.3382
1.7550 -9.2773 2.9862
```

## Properties
- Symmetry: Pnma (62)
- Theoretical density: 8.556 g/cm3
- Polymorph energy (0 for the lowest one): 0.0 meV/atom
- E: -5.90 eV/atom
- Spin magnetization: 0.00 μB per formula unit

=====

[3]
The following is a PBE calculation of an optimized crystal structure of NaMn2MoPd, from Alexandria via LeMat-Bulk. Values from VASP.

Structure (Quantum ESPRESSO input):
```
&SYSTEM
  ibrav = 0, nat = 5, ntyp = 4
/
ATOMIC_SPECIES
Na 22.99 Na.upf
Mo 95.94 Mo.upf
Mn 54.94 Mn.upf
Pd 106.42 Pd.upf
ATOMIC_POSITIONS angstrom
Na -0.0449 -0.9492 -2.1848
Mo 0.9235 -3.7696 -0.9794
Mn 2.0175 -0.9775 0.3832
Mn -1.0491 -1.8428 0.8222
Pd 0.0000 0.0000 0.0000
CELL_PARAMETERS angstrom
-2.0982 -3.6857 1.6444
-0.0898 -1.8984 -4.3696
4.0350 -1.9551 0.7664
```

## Properties
- Symmetry: P4/mmm (123)
- Theoretical density: 5.646 g/cm3
- E: -5.14 eV/atom
- Spin magnetization: 3.37 μB per formula unit

=====

[4]
The following is a PBE calculation of an optimized crystal structure of Ti5Si2Ge, from Alexandria via LeMat-Bulk. Values from VASP.

Structure (Quantum ESPRESSO input):
```
&SYSTEM
  ibrav = 0, nat = 16, ntyp = 3
/
ATOMIC_SPECIES
Ti 47.87 Ti.upf
Si 28.09 Si.upf
Ge 72.64 Ge.upf
ATOMIC_POSITIONS angstrom
Ti 1.0739 2.2234 4.0218
Ti 4.3713 5.5207 1.7291
Ti 0.0000 0.0000 0.0000
Ti 3.2973 3.2973 0.0000
Ti -1.0739 -2.2234 4.0218
Ti 2.2234 -1.0739 4.0218
Ti -2.2234 1.0739 4.0218
Ti 1.0739 4.3713 1.7291
Ti 5.5207 2.2234 1.7291
Ti 2.2234 1.0739 1.7291
Si 0.8683 2.4290 0.0000
Si 4.1656 0.8683 0.0000
Si 2.4290 5.7264 0.0000
Si 5.7264 4.1656 0.0000
Ge 3.2973 3.2973 2.8755
Ge 0.0000 0.0000 2.8755
CELL_PARAMETERS angstrom
6.5946 0.0000 0.0000
0.0000 6.5946 0.0000
-3.2973 -3.2973 5.7510
```

## Properties
- Symmetry: I4/mcm (140)
- Theoretical density: 4.888 g/cm3
- E: -7.58 eV/atom
- Formation energy from raw total energies: -0.709 eV/atom
- Spin magnetization: 0.00 μB per formula unit

=====

[5]
The following is a PBE calculation of an optimized crystal structure of Nd4As3Se, from Alexandria via LeMat-Bulk. Values from VASP.

Structure (Quantum ESPRESSO input):
```
&SYSTEM
  ibrav = 0, nat = 8, ntyp = 3
/
ATOMIC_SPECIES
As 74.92 As.upf
Nd 144.24 Nd.upf
Se 78.96 Se.upf
ATOMIC_POSITIONS angstrom
As -2.8772 -3.0247 0.8654
As 0.2451 -2.1944 3.6472
As 1.1423 -4.1073 -0.0556
Nd 2.3775 -3.8329 5.0103
Nd 3.2747 -5.7458 1.3075
Nd 2.1648 -1.6634 1.3838
Nd -0.7773 -4.6383 2.2078
Se 0.0000 0.0000 0.0000
CELL_PARAMETERS angstrom
-3.7744 -1.1118 4.5683
-1.9801 -4.9376 -2.8374
7.1420 -0.2523 1.8608
```

## Properties
- Symmetry: I4/mmm (139)
- Theoretical density: 6.672 g/cm3
- E: -6.20 eV/atom
- Formation energy from raw total energies: -1.641 eV/atom
- Spin magnetization: 0.00 μB per formula unit

=====

[6]
The following is a PBE calculation of an optimized crystal structure of SrAs2Br, from Alexandria via LeMat-Bulk. Values from VASP.

Structure (Quantum ESPRESSO input):
```
&SYSTEM
  ibrav = 0, nat = 4, ntyp = 3
/
ATOMIC_SPECIES
Sr 87.62 Sr.upf
As 74.92 As.upf
Br 79.90 Br.upf
ATOMIC_POSITIONS angstrom
Sr 2.6386 0.0045 1.8614
As 0.0000 0.0000 0.0000
As 0.0080 2.6386 1.8614
Br 2.6466 2.6431 0.0000
CELL_PARAMETERS angstrom
5.2773 0.0089 0.0000
0.0159 5.2773 0.0000
-2.6466 -2.6431 3.7228
```

## Properties
- Symmetry: I-4m2 (119)
- Theoretical density: 5.083 g/cm3
- Polymorph energy (0 for the lowest one): 497.2 meV/atom
- E: -3.57 eV/atom
- Formation energy from raw total energies: -0.410 eV/atom
- Spin magnetization: 0.00 μB per formula unit

=====

[7]
The following is a PBE calculation of an optimized crystal structure of Ac2MgTlGe, from Alexandria via LeMat-Bulk. Values from VASP.

Structure (Quantum ESPRESSO input):
```
&SYSTEM
  ibrav = 0, nat = 10, ntyp = 4
/
ATOMIC_SPECIES
Ac 227.00 Ac.upf
Mg 24.30 Mg.upf
Tl 204.38 Tl.upf
Ge 72.64 Ge.upf
ATOMIC_POSITIONS angstrom
Ac 3.7421 5.5431 5.2859
Ac 3.7421 5.9647 0.9688
Ac 1.2474 0.2134 3.6229
Ac 1.2474 -0.2081 7.9400
Mg 1.2474 2.9707 5.7855
Mg 3.7421 2.7859 3.1234
Tl 1.2474 4.4106 2.9502
Tl 3.7421 1.3460 5.9586
Ge 1.2474 5.2623 7.1718
Ge 3.7421 0.4942 1.7371
CELL_PARAMETERS angstrom
4.9895 0.0000 0.0000
0.0000 7.9485 1.0548
0.0000 -2.1920 7.8540
```

## Properties
- Symmetry: P2_1/m (11)
- Theoretical density: 7.766 g/cm3
- E: -3.78 eV/atom
- Spin magnetization: 0.00 μB per formula unit

=====

[8]
The following is a PBE calculation of an optimized crystal structure of TiNbTe, from Alexandria via LeMat-Bulk. Values from VASP.

Structure (Quantum ESPRESSO input):
```
&SYSTEM
  ibrav = 0, nat = 12, ntyp = 3
/
ATOMIC_SPECIES
Nb 92.91 Nb.upf
Te 127.60 Te.upf
Ti 47.87 Ti.upf
ATOMIC_POSITIONS angstrom
Nb 0.0000 0.0000 7.8984
Nb 1.8612 2.2096 0.7934
Nb 0.0000 2.2096 12.7606
Nb 1.8612 0.0000 5.6557
Te 0.0000 0.0000 10.7486
Te 1.8612 2.2096 3.6437
Te 0.0000 0.0000 0.6473
Te 1.8612 2.2096 7.7523
Ti 0.0000 0.0000 3.4271
Ti 1.8612 2.2096 10.5321
Ti 0.0000 2.2096 5.6904
Ti 1.8612 0.0000 12.7954
CELL_PARAMETERS angstrom
3.7225 0.0000 0.0000
0.0000 4.4192 0.0000
0.0000 0.0000 14.2099
```

## Properties
- Symmetry: Imm2 (44)
- Theoretical density: 7.626 g/cm3
- Polymorph energy (0 for the lowest one): 86.4 meV/atom
- E: -7.31 eV/atom
- Formation energy from raw total energies: -0.279 eV/atom
- Spin magnetization: 0.00 μB per formula unit

=====

[9]
The following is a PBE calculation of an optimized crystal structure of Y5Tm2In2, from Alexandria via LeMat-Bulk. Values from VASP.

Structure (Quantum ESPRESSO input):
```
&SYSTEM
  ibrav = 0, nat = 18, ntyp = 3
/
ATOMIC_SPECIES
Y 88.91 Y.upf
Tm 168.93 Tm.upf
In 114.82 In.upf
ATOMIC_POSITIONS angstrom
Y 2.5651 -7.0108 2.8901
Y -5.8230 -0.9702 6.5034
Y 5.3100 -4.7098 3.1966
Y -2.7220 0.7768 5.9988
Y -3.9174 -4.0088 3.6602
Y 0.5216 -4.0677 5.7380
Y -1.0180 -1.9481 3.6148
Y 3.4681 -2.0804 5.5852
Y -0.7977 -5.3114 2.7753
Y 0.4381 -0.6627 6.5199
Tm -0.4473 -0.3097 0.0152
Tm -4.7920 -0.1218 3.3534
Tm 2.1154 -3.3833 2.5876
Tm -2.5740 -2.6593 6.7110
In -3.1473 -2.0601 1.4543
In 2.7154 -3.9641 7.8434
In -0.8900 0.9993 2.8715
In 0.4581 -7.0235 6.4261
CELL_PARAMETERS angstrom
-2.8436 4.4237 6.4783
-5.8459 -4.0480 0.1982
8.6565 -6.1237 2.6077
```

## Properties
- Symmetry: Ima2 (46)
- Theoretical density: 5.996 g/cm3
- E: -5.23 eV/atom
- Spin magnetization: 0.00 μB per formula unit

=====

[10]
The following is a PBE calculation of an optimized crystal structure of BeNi2Cl, from Alexandria via LeMat-Bulk. Values from VASP.

Structure (Quantum ESPRESSO input):
```
&SYSTEM
  ibrav = 0, nat = 4, ntyp = 3
/
ATOMIC_SPECIES
Ni 58.69 Ni.upf
Be 9.01 Be.upf
Cl 35.45 Cl.upf
ATOMIC_POSITIONS angstrom
Ni 1.4232 1.4232 1.4232
Ni 4.2697 4.2697 4.2697
Be 0.0000 0.0000 0.0000
Cl 2.8465 2.8465 2.8465
CELL_PARAMETERS angstrom
0.0000 2.8465 2.8465
2.8465 0.0000 2.8465
2.8465 2.8465 0.0000
```

## Properties
- Symmetry: Fm-3m (225)
- Theoretical density: 5.827 g/cm3
- Polymorph energy (0 for the lowest one): 502.8 meV/atom
- E: -3.81 eV/atom
- Formation energy from raw total energies: 0.473 eV/atom
- Spin magnetization: 0.00 μB per formula unit

=====

[11]
The following is a PBE calculation of an optimized crystal structure of CoTeS2N, from Alexandria via LeMat-Bulk. Values from VASP.

Structure (Quantum ESPRESSO input):
```
&SYSTEM
  ibrav = 0, nat = 5, ntyp = 4
/
ATOMIC_SPECIES
S 32.06 S.upf
Te 127.60 Te.upf
Co 58.93 Co.upf
N 14.01 N.upf
ATOMIC_POSITIONS angstrom
S 0.0000 2.5436 0.0000
S 2.5436 0.0000 0.0000
Te 0.0000 0.0000 0.0000
Co 2.5436 2.5436 1.9326
N 0.0000 0.0000 1.9326
CELL_PARAMETERS angstrom
5.0872 0.0000 0.0000
0.0000 5.0872 0.0000
0.0000 0.0000 3.8653
```

## Properties
- Symmetry: P4/mmm (123)
- Theoretical density: 4.393 g/cm3
- Polymorph energy (0 for the lowest one): 879.5 meV/atom
- E: -4.02 eV/atom
- Formation energy from raw total energies: 1.347 eV/atom
- Spin magnetization: 2.80 μB per formula unit